(1)
{"formula": "KPSe2N", "functional": "GGA-PBE", "state": "relaxed", "lattice": [[-2.743, -4.013, -3.624], [-2.352, -2.773, 4.852], [-4.020, 2.973, -0.250]], "species": ["P", "K", "Se", "Se", "N"], "fractional_positions": [[0.500, 0.500, 0.500], [0.000, 0.000, 0.000], [0.000, 0.500, 0.000], [0.500, 0.000, 0.000], [0.000, 0.000, 0.500]], "relative_energy_mev_per_atom": 1820, "formation_energy_uncorrected_ev_per_atom": 1.946, "crystal_system": "tetragonal"}



(2)
{"formula": "KPSe2N", "functional": "GGA-PBE", "state": "relaxed", "lattice": [[-5.314, -1.985, 0.336], [1.237, -3.967, -3.876], [0.890, -1.989, 2.320]], "species": ["P", "K", "Se", "Se", "N"], "fractional_positions": [[0.000, 0.000, 0.000], [0.500, 0.500, 0.500], [0.000, 0.500, 0.000], [0.500, 0.000, 0.000], [0.000, 0.000, 0.500]], "relative_energy_mev_per_atom": 0, "formation_energy_uncorrected_ev_per_atom": 0.125, "crystal_system": "tetragonal"}



(3)
{"formula": "KSiP2N6", "functional": "GGA-PBE", "state": "relaxed", "lattice": [[5.334, -0.038, -0.040], [1.664, 7.161, -0.596], [1.664, -0.861, 7.134]], "species": ["K", "K", "Si", "Si", "P", "P", "P", "P", "N", "N", "N", "N", "N", "N", "N", "N", "N", "N", "N", "N"], "fractional_positions": [[0.250, 0.897, 0.103], [0.750, 0.103, 0.897], [0.250, 0.245, 0.755], [0.750, 0.755, 0.245], [0.357, 0.786, 0.625], [0.143, 0.375, 0.214], [0.643, 0.214, 0.375], [0.857, 0.625, 0.786], [0.263, 0.010, 0.712], [0.237, 0.288, 0.990], [0.737, 0.990, 0.288], [0.763, 0.712, 0.010], [0.468, 0.747, 0.400], [0.032, 0.600, 0.253], [0.532, 0.253, 0.600], [0.968, 0.400, 0.747], [0.088, 0.718, 0.686], [0.412, 0.314, 0.282], [0.912, 0.282, 0.314], [0.588, 0.686, 0.718]], "formation_energy_uncorrected_ev_per_atom": -0.120, "crystal_system": "monoclinic"}



(4)
{"formula": "KSm2P2N6", "functional": "GGA-PBE", "state": "relaxed", "lattice": [[6.515, 0.004, 0.003], [3.255, 5.621, -0.098], [-0.001, -3.225, 5.713]], "species": ["K", "Sm", "Sm", "P", "P", "N", "N", "N", "N", "N", "N"], "fractional_positions": [[0.500, 0.000, 0.500], [0.823, 0.355, 0.805], [0.177, 0.645, 0.195], [0.157, 0.685, 0.752], [0.843, 0.315, 0.248], [0.404, 0.593, 0.829], [0.997, 0.407, 0.172], [0.069, 0.862, 0.628], [0.003, 0.593, 0.828], [0.931, 0.138, 0.372], [0.596, 0.407, 0.171]], "formation_energy_uncorrected_ev_per_atom": -0.687, "crystal_system": "monoclinic"}



(5)
{"formula": "KTaPN4", "functional": "GGA-PBE", "state": "relaxed", "lattice": [[5.314, 0.000, -0.120], [0.000, 5.682, 0.000], [-2.234, 0.000, 7.099]], "species": ["K", "K", "Ta", "Ta", "P", "P", "N", "N", "N", "N", "N", "N", "N", "N"], "fractional_positions": [[0.714, 0.750, 0.948], [0.286, 0.250, 0.052], [0.815, 0.750, 0.467], [0.185, 0.250, 0.533], [0.277, 0.750, 0.364], [0.723, 0.250, 0.636], [0.937, 0.468, 0.653], [0.063, 0.968, 0.347], [0.063, 0.532, 0.347], [0.937, 0.032, 0.653], [0.477, 0.750, 0.236], [0.523, 0.250, 0.764], [0.491, 0.750, 0.580], [0.509, 0.250, 0.420]], "formation_energy_uncorrected_ev_per_atom": -0.459, "crystal_system": "monoclinic"}



(6)
{"formula": "KTbPN3", "functional": "GGA-PBE", "state": "relaxed", "lattice": [[3.788, 0.000, 0.000], [-1.894, 6.172, -0.169], [0.000, -2.012, 7.558]], "species": ["K", "K", "Tb", "Tb", "P", "P", "N", "N", "N", "N", "N", "N"], "fractional_positions": [[0.354, 0.708, 0.940], [0.646, 0.292, 0.060], [0.649, 0.297, 0.573], [0.351, 0.703, 0.427], [0.010, 0.020, 0.265], [0.990, 0.980, 0.735], [0.871, 0.743, 0.244], [0.850, 0.699, 0.637], [0.508, 0.017, 0.294], [0.150, 0.301, 0.363], [0.492, 0.983, 0.706], [0.129, 0.257, 0.756]], "formation_energy_uncorrected_ev_per_atom": -0.410, "crystal_system": "monoclinic"}



(7)
{"formula": "K2TcP2N6", "functional": "GGA-PBE", "state": "relaxed", "lattice": [[-0.730, 4.204, 3.565], [-4.734, 0.405, 2.889], [0.556, -1.744, 6.507]], "species": ["K", "K", "Tc", "P", "P", "N", "N", "N", "N", "N", "N"], "fractional_positions": [[0.795, 0.795, 0.615], [0.205, 0.205, 0.385], [0.000, 0.000, 0.000], [0.394, 0.394, 0.817], [0.606, 0.606, 0.183], [0.764, 0.764, 0.198], [0.274, 0.764, 0.198], [0.764, 0.274, 0.198], [0.236, 0.726, 0.802], [0.726, 0.236, 0.802], [0.236, 0.236, 0.802]], "formation_energy_uncorrected_ev_per_atom": -0.035, "crystal_system": "trigonal"}



(8)
{"formula": "KTePN2", "functional": "GGA-PBE", "state": "relaxed", "lattice": [[-0.864, 1.576, -3.810], [2.489, -2.905, -1.766], [-4.134, -3.286, -0.422]], "species": ["P", "K", "Te", "N", "N"], "fractional_positions": [[0.000, 0.000, 0.000], [0.500, 0.500, 0.500], [0.000, 0.000, 0.500], [0.000, 0.500, 0.000], [0.500, 0.000, 0.000]], "relative_energy_mev_per_atom": 0, "formation_energy_uncorrected_ev_per_atom": 1.264, "crystal_system": "tetragonal"}



(9)
{"formula": "KTePN2", "functional": "GGA-PBE", "state": "relaxed", "lattice": [[4.731, 0.000, 0.000], [0.000, 4.731, 0.000], [0.000, 0.000, 7.165]], "species": ["P", "K", "Te", "N", "N"], "fractional_positions": [[0.500, 0.500, 0.500], [0.000, 0.000, 0.000], [0.000, 0.000, 0.500], [0.000, 0.500, 0.000], [0.500, 0.000, 0.000]], "relative_energy_mev_per_atom": 1098, "formation_energy_uncorrected_ev_per_atom": 2.362, "crystal_system": "tetragonal"}



(10)
{"formula": "KTe2PN", "functional": "GGA-PBE", "state": "relaxed", "lattice": [[-6.075, 0.438, -0.989], [-1.034, -0.691, 6.044], [0.169, 3.237, 0.399]], "species": ["P", "K", "Te", "Te", "N"], "fractional_positions": [[0.000, 0.000, 0.000], [0.500, 0.500, 0.500], [0.000, 0.500, 0.000], [0.500, 0.000, 0.000], [0.000, 0.000, 0.500]], "relative_energy_mev_per_atom": 0, "formation_energy_uncorrected_ev_per_atom": 0.126, "crystal_system": "tetragonal"}



(11)
{"formula": "KTe2PN", "functional": "GGA-PBE", "state": "relaxed", "lattice": [[-3.915, 4.774, -1.344], [-4.879, -4.015, -0.049], [-0.689, 0.779, 4.773]], "species": ["P", "K", "Te", "Te", "N"], "fractional_positions": [[0.500, 0.500, 0.500], [0.000, 0.000, 0.000], [0.000, 0.500, 0.000], [0.500, 0.000, 0.000], [0.000, 0.000, 0.500]], "relative_energy_mev_per_atom": 1769, "formation_energy_uncorrected_ev_per_atom": 1.895, "crystal_system": "tetragonal"}



(12)
{"formula": "KTh2P2N6", "functional": "GGA-PBE", "state": "relaxed", "lattice": [[-0.266, 6.600, 0.379], [-4.504, 2.936, 3.422], [6.188, 0.111, 2.426]], "species": ["K", "Th", "Th", "P", "P", "N", "N", "N", "N", "N", "N"], "fractional_positions": [[0.500, 0.000, 0.500], [0.809, 0.381, 0.805], [0.191, 0.619, 0.195], [0.121, 0.759, 0.810], [0.879, 0.241, 0.190], [0.388, 0.620, 0.855], [0.007, 0.381, 0.145], [0.072, 0.856, 0.620], [0.993, 0.619, 0.855], [0.928, 0.144, 0.380], [0.612, 0.380, 0.145]], "formation_energy_uncorrected_ev_per_atom": -0.883, "crystal_system": "monoclinic"}